Record 1
K2LaZr | GGA-PBE | relaxed

Output
Symmetry: Fm-3m (225)
Energy of formation: 1.1557 eV/atom
Total magnetic moment: 1.310 μB/cell
Raw total energy: -2.762 eV per atom
E above lowest polymorph: 757 meV/atom

Unit cell a=6.0803 b=6.0803 c=6.0803 alpha=60.00 beta=60.00 gamma=60.00
Site moments in Bohr magnetons follow the coordinates.
Element x y z (fractional)
La (0.5000, 0.5000, 0.5000)  0.03
Zr (0.0000, 0.0000, 0.0000)  0.72
K (0.2500, 0.2500, 0.2500)  0.01
K (0.7500, 0.7500, 0.7500)  0.01


Record 2
KLa2Zr | GGA-PBE | relaxed

Output
Symmetry: R-3m (166)
Energy of formation: 0.2620 eV/atom
Total magnetic moment: 0.000 μB/cell
Raw total energy: -4.613 eV per atom
E above lowest polymorph: 0 meV/atom

Unit cell a=13.1799 b=13.1799 c=13.1799 alpha=15.74 beta=15.74 gamma=15.74
Element x y z (fractional)
La (0.9845, 0.9845, 0.9845)
La (0.5155, 0.5155, 0.5155)
Zr (0.2500, 0.2500, 0.2500)
K (0.7500, 0.7500, 0.7500)


Record 3
KLaZr | GGA-PBE | relaxed

Output
Symmetry: P3m1 (156)
Energy of formation: 0.4576 eV/atom
Total magnetic moment: 0.001 μB/cell
Raw total energy: -4.400 eV per atom
E above lowest polymorph: 21 meV/atom

Unit cell a=3.5212 b=3.5212 c=9.8412 alpha=90.00 beta=90.00 gamma=120.00
Element x y z (fractional)
La (0.6667, 0.3333, 0.3756)
Zr (0.3333, 0.6667, 0.6419)
K (0.0000, 0.0000, 0.9826)